# PBE-GGA SrSc2Hg, relaxed
data_SrSc2Hg
_cell_length_a 3.6482
_cell_length_b 5.0385
_cell_length_c 6.4566
_cell_angle_alpha 90.00
_cell_angle_beta 104.74
_cell_angle_gamma 90.00
_space_group_name_H-M_alt 'P 1 2/m 1'
_space_group_IT_number 10
_space_group_name_Hall '-P 2y'
loop_
_atom_site_label
_atom_site_type_symbol
_atom_site_fract_x
_atom_site_fract_y
_atom_site_fract_z
_atom_site_occupancy
Sr1 Sr 0.0000 0.0000 0.0000 1
Sc1 Sc 0.3369 0.5000 0.7049 1
Hg1 Hg 0.5000 0.0000 0.5000 1
# D(E_F)   5.088 states/eV/cell
# Relative energy among the computed polymorphs   146 meV per atom
# Energy relative to the elements   0.0304 eV/atom